The following is a DFT calculation (PBE) of an optimized crystal structure of Dy7Tl2Pb2.

```
data_Dy7Tl2Pb2
_cell_length_a 8.204
_cell_length_b 11.290
_cell_length_c 7.655
_cell_angle_alpha 90.00
_cell_angle_beta 90.00
_cell_angle_gamma 90.00
_space_group_name_H-M_alt 'C m m m'
_space_group_IT_number 65
_space_group_name_Hall '-C 2 2'
loop_
_atom_site_label
_atom_site_type_symbol
_atom_site_fract_x
_atom_site_fract_y
_atom_site_fract_z
Dy1 Dy 0.000 0.000 0.000
Dy2 Dy 0.000 0.500 0.253
Dy3 Dy 0.250 0.250 0.287
Tl1 Tl 0.000 0.287 0.000
Pb1 Pb 0.185 0.000 0.500
```

=====

The following is a DFT calculation (PBE) of an optimized crystal structure of Dy5Tl2Pb2.

```
data_Dy5Tl2Pb2
_cell_length_a 15.814
_cell_length_b 8.234
_cell_length_c 8.131
_cell_angle_alpha 90.00
_cell_angle_beta 90.00
_cell_angle_gamma 90.00
_space_group_name_H-M_alt 'C m c e'
_space_group_IT_number 64
_space_group_name_Hall '-C 2ac 2'
loop_
_atom_site_label
_atom_site_type_symbol
_atom_site_fract_x
_atom_site_fract_y
_atom_site_fract_z
Dy1 Dy 0.000 0.000 0.000
Dy2 Dy 0.137 0.173 0.329
Tl1 Tl 0.000 0.130 0.630
Pb1 Pb 0.208 0.000 0.000
```

=====

The following is a DFT calculation (PBE) of an optimized crystal structure of DyTlPb.

Distance to the lowest polymorph of the same formula   105 meV/atom

```
data_DyTlPb
_cell_length_a 5.2278
_cell_length_b 5.2278
_cell_length_c 3.6600
_cell_angle_alpha 90.00
_cell_angle_beta 90.00
_cell_angle_gamma 120.00
_space_group_name_H-M_alt 'P 3 m 1'
_space_group_IT_number 156
_space_group_name_Hall 'P 3 -2"'
loop_
_atom_site_label
_atom_site_type_symbol
_atom_site_fract_x
_atom_site_fract_y
_atom_site_fract_z
Dy1 Dy 0.0000 0.0000 0.0000
Tl1 Tl 0.3333 0.6667 0.6823
Pb1 Pb 0.6667 0.3333 0.3727
```

=====

The following is a DFT calculation (PBE) of an optimized crystal structure of Dy2TlPb.

```
data_Dy2TlPb
_cell_length_a 5.049
_cell_length_b 5.049
_cell_length_c 4.342
_cell_angle_alpha 90.00
_cell_angle_beta 90.00
_cell_angle_gamma 90.00
_space_group_name_H-M_alt 'P 4/m m m'
_space_group_IT_number 123
_space_group_name_Hall '-P 4 2'
loop_
_atom_site_label
_atom_site_type_symbol
_atom_site_fract_x
_atom_site_fract_y
_atom_site_fract_z
Dy1 Dy 0.000 0.500 0.000
Tl1 Tl 0.000 0.000 0.500
Pb1 Pb 0.500 0.500 0.500
```

=====

Going through the records in order, we get calculated formation energy values of -0.039, -0.430, -0.199, -0.391 eV per atom.